(1)
First-principles (GGA-PBE) data for an optimized crystal structure of LiGeRuO6, as listed in Alexandria.

a b c (Å): 4.5892 4.5892 8.8451
angles (deg): 90.00 90.00 90.00
With the nearest neighbours (Å) after each atom.
Fractional positions:
Li (0.0000, 0.0000, 0.0000)  6 O 2.03-2.09
Li (0.5000, 0.5000, 0.5000)  6 O 2.03-2.09
Ge (0.0000, 0.0000, 0.3330)  6 O 1.88-1.94
Ge (0.5000, 0.5000, 0.8330)  6 O 1.88-1.94
Ru (0.0000, 0.0000, 0.6699)  6 O 1.89-1.93
Ru (0.5000, 0.5000, 0.1699)  6 O 1.89-1.93
O (0.1870, 0.1870, 0.5034)  1 Ru 1.91, 1 Ge 1.94, 1 Li 2.03
O (0.2085, 0.2085, 0.1793)  1 Ru 1.89, 1 Ge 1.92, 1 Li 2.09
O (0.2102, 0.2102, 0.8239)  1 Ge 1.88, 1 Ru 1.93, 1 Li 2.07
O (0.2898, 0.7102, 0.3239)  1 Ge 1.88, 1 Ru 1.93, 1 Li 2.07
O (0.2915, 0.7085, 0.6793)  1 Ru 1.89, 1 Ge 1.92, 1 Li 2.09
O (0.3130, 0.6870, 0.0034)  1 Ru 1.91, 1 Ge 1.94, 1 Li 2.03
O (0.6870, 0.3130, 0.0034)  1 Ru 1.91, 1 Ge 1.94, 1 Li 2.03
O (0.7085, 0.2915, 0.6793)  1 Ru 1.89, 1 Ge 1.92, 1 Li 2.09
O (0.7102, 0.2898, 0.3239)  1 Ge 1.88, 1 Ru 1.93, 1 Li 2.07
O (0.7898, 0.7898, 0.8239)  1 Ge 1.88, 1 Ru 1.93, 1 Li 2.07
O (0.7915, 0.7915, 0.1793)  1 Ru 1.89, 1 Ge 1.92, 1 Li 2.09
O (0.8130, 0.8130, 0.5034)  1 Ru 1.91, 1 Ge 1.94, 1 Li 2.03

Results
Formation energy from raw total energies in meV per atom: -1107
Space-group type: P4_2nm

***

(2)
First-principles (GGA-PBE) data for an optimized crystal structure of Cs2VPdBr, as listed in Alexandria.

a b c (Å): 7.0218 7.0218 4.8933
angles (deg): 90.00 90.00 90.00
With the nearest neighbours (Å) after each atom.
Fractional positions:
Cs (0.0000, 0.5000, 0.0000)  2 Br 3.51
Cs (0.5000, 0.0000, 0.0000)  2 Br 3.51
V (0.0000, 0.0000, 0.5000)  8 Cs 4.28
Pd (0.5000, 0.5000, 0.5000)  2 Br 2.45
Br (0.5000, 0.5000, 0.0000)  2 Pd 2.45

Results
Formation energy from raw total energies in meV per atom: 418
Space-group type: P4/mmm

***

(3)
First-principles (GGA-PBE) data for an optimized crystal structure of LiTiAl2Cl, as listed in Alexandria.

a b c (Å): 4.4005 4.4005 4.9442
angles (deg): 90.00 90.00 90.00
With the nearest neighbours (Å) after each atom.
Fractional positions:
Li (0.0000, 0.0000, 0.0000)  4 Al 2.20
Ti (0.0000, 0.0000, 0.5000)  2 Li 2.47
Al (0.0000, 0.5000, 0.0000)  2 Li 2.20
Al (0.5000, 0.0000, 0.0000)  2 Li 2.20
Cl (0.5000, 0.5000, 0.5000)  4 Ti 3.11, 8 Al 3.31

Results
Formation energy from raw total energies in meV per atom: 529
Space-group type: P4/mmm

***

(4)
First-principles (GGA-PBE) data for an optimized crystal structure of TiGa2Si, as listed in Alexandria.

a b c (Å): 3.7764 3.7764 4.3286
angles (deg): 90.00 90.00 90.00
With the nearest neighbours (Å) after each atom.
Fractional positions:
Ti (0.0000, 0.0000, 0.0000)  4 Si 2.67, 8 Ga 2.87
Ga (0.0000, 0.5000, 0.5000)  4 Ga 2.67, 4 Ti 2.87, 4 Si 2.87
Ga (0.5000, 0.0000, 0.5000)  4 Ga 2.67, 4 Ti 2.87, 4 Si 2.87
Si (0.5000, 0.5000, 0.0000)  4 Ti 2.67, 8 Ga 2.87

Results
Formation energy from raw total energies in meV per atom: -205
Space-group type: P4/mmm